# 1
! NiRu3Pb, relaxed, DFT PBE; values from VASP
! DFT formation energy	119	kJ/mol of atoms
! symmetry	Pm-3m
! energy relative to the lowest polymorph listed for this composition	0.00	eV per formula unit
&SYSTEM
  ibrav = 0, nat = 5, ntyp = 3
/
ATOMIC_SPECIES
Ru 101.07 Ru.upf
Pb 207.20 Pb.upf
Ni 58.69 Ni.upf
CELL_PARAMETERS angstrom
-2.099 1.738 3.612
-3.607 -2.598 -0.846
1.749 -3.272 2.590
ATOMIC_POSITIONS angstrom
Ru -1.050 0.869 1.806
Ru -1.803 -1.299 -0.423
Pb -1.978 -2.066 2.678
Ru 0.875 -1.636 1.295
Ni 0.000 0.000 0.000



# 2
! RbFe2AgI6, relaxed, DFT PBE; values from VASP
! formation energy (no corrections)	-369	meV per atom
! symmetry	C2/c
&SYSTEM
  ibrav = 0, nat = 20, ntyp = 4
/
ATOMIC_SPECIES
Ag 107.87 Ag.upf
I 126.90 I.upf
Rb 85.47 Rb.upf
Fe 55.84 Fe.upf
CELL_PARAMETERS angstrom
8.166 -0.004 -0.005
2.604 10.553 -0.218
2.604 -0.609 10.537
ATOMIC_POSITIONS angstrom
Ag 8.728 8.089 2.150
I 7.675 5.697 7.133
Rb 4.645 9.133 1.148
Fe 3.178 3.852 2.416
I 3.085 2.110 0.451
I 7.168 0.370 2.123
Fe 10.195 6.087 7.899
I 6.206 9.569 8.191
Ag 4.645 1.851 8.165
I 10.289 7.829 9.864
I 5.698 4.242 3.181
I 2.495 6.197 1.454
Fe 7.261 2.269 3.937
I 10.879 3.742 8.861
I 6.796 8.718 4.070
I 6.578 1.221 6.245
I 9.781 3.019 4.355
Fe 6.113 7.670 6.377
Rb 8.728 0.806 9.167
I 3.592 6.920 5.960



# 3
! Hf2Ti3C4, relaxed, DFT PBE; values from VASP
! DFT formation energy	-78	kJ/mol of atoms
! symmetry	C2/m
&SYSTEM
  ibrav = 0, nat = 9, ntyp = 3
/
ATOMIC_SPECIES
C 12.01 C.upf
Ti 47.87 Ti.upf
Hf 178.49 Hf.upf
CELL_PARAMETERS angstrom
-1.839 1.123 2.310
-2.257 -4.265 2.437
3.930 -1.176 5.861
ATOMIC_POSITIONS angstrom
C 2.137 -1.918 6.955
Ti -0.587 -1.680 2.510
C -0.550 0.094 3.838
Ti 0.421 -2.637 8.099
Hf 0.873 -0.838 5.423
Ti 0.000 0.000 0.000
Hf -1.039 -3.479 5.185
C 0.384 -4.411 6.771
C -2.303 -2.399 3.653



# 4
! Dy7ErCd4, relaxed, DFT PBE; values from VASP
! DFT formation energy	1	kJ/mol of atoms
! symmetry	C2/m
&SYSTEM
  ibrav = 0, nat = 12, ntyp = 3
/
ATOMIC_SPECIES
Dy 162.50 Dy.upf
Er 167.26 Er.upf
Cd 112.41 Cd.upf
CELL_PARAMETERS angstrom
5.695 0.000 0.000
2.847 8.477 0.967
2.847 1.080 7.254
ATOMIC_POSITIONS angstrom
Dy 2.847 0.000 0.000
Dy 5.695 6.738 6.352
Er 0.000 0.000 0.000
Cd 8.542 6.639 7.739
Dy 8.542 8.040 4.694
Cd 5.695 3.126 4.830
Cd 5.695 6.431 3.391
Cd 2.847 2.918 0.482
Dy 5.695 2.818 1.869
Dy 2.847 5.272 2.525
Dy 2.847 1.517 3.527
Dy 8.542 4.285 5.697



# 5
! NbHg2Sb, relaxed, DFT PBE; values from VASP
! formation energy (no corrections)	431	meV per atom
! symmetry	I-42d
&SYSTEM
  ibrav = 0, nat = 8, ntyp = 3
/
ATOMIC_SPECIES
Nb 92.91 Nb.upf
Sb 121.76 Sb.upf
Hg 200.59 Hg.upf
CELL_PARAMETERS angstrom
-1.022 -6.564 4.752
6.509 -3.518 -3.460
4.421 -3.875 2.618
ATOMIC_POSITIONS angstrom
Nb 2.743 -5.041 0.646
Nb 6.837 -6.217 -0.098
Sb 0.000 0.000 0.000
Hg 8.016 -11.674 3.148
Hg 5.474 -6.742 2.395
Hg 5.030 -4.090 -0.840
Hg 1.296 -5.409 3.118
Sb 3.071 -7.740 4.008



# 6
! Mg5AlAu6, relaxed, DFT PBE; values from VASP
! DFT formation energy	-55	kJ/mol of atoms
! symmetry	C2/m
&SYSTEM
  ibrav = 0, nat = 12, ntyp = 3
/
ATOMIC_SPECIES
Mg 24.30 Mg.upf
Al 26.98 Al.upf
Au 196.97 Au.upf
CELL_PARAMETERS angstrom
4.454 0.009 -1.318
-0.905 5.795 -3.017
-0.107 0.415 8.038
ATOMIC_POSITIONS angstrom
Mg 1.117 2.222 3.933
Al 0.000 0.000 0.000
Mg 2.807 1.162 1.386
Mg 2.325 3.997 -0.231
Au 0.320 2.465 1.158
Mg 0.634 5.057 2.316
Au -0.148 5.463 -0.402
Au 3.590 0.756 4.105
Au 1.908 1.779 6.671
Mg -0.453 2.897 -1.509
Au 1.534 4.440 -2.969
Au 3.121 3.754 2.544



# 7
! SrGe3C, relaxed, DFT PBE; values from VASP
! DFT formation energy	244	kJ/mol of atoms
! symmetry	Pm-3m
! energy relative to the lowest polymorph listed for this composition	9.26	eV per formula unit
&SYSTEM
  ibrav = 0, nat = 5, ntyp = 3
/
ATOMIC_SPECIES
Ge 72.64 Ge.upf
Sr 87.62 Sr.upf
C 12.01 C.upf
CELL_PARAMETERS angstrom
-2.883 2.556 -4.262
-3.905 -4.213 0.115
-3.074 2.954 3.851
ATOMIC_POSITIONS angstrom
Ge -1.537 1.477 1.926
Sr 0.000 0.000 0.000
Ge -1.953 -2.106 0.057
C -4.931 0.649 -0.148
Ge -1.442 1.278 -2.131



# 8
! ReNiP, relaxed, DFT PBE; values from VASP
! DFT formation energy	0	kJ/mol of atoms
! symmetry	Pmm2
! energy relative to the lowest polymorph listed for this composition	0.65	eV per formula unit
&SYSTEM
  ibrav = 0, nat = 3, ntyp = 3
/
ATOMIC_SPECIES
P 30.97 P.upf
Re 186.21 Re.upf
Ni 58.69 Ni.upf
CELL_PARAMETERS angstrom
-1.118 0.278 2.301
1.700 -2.160 1.087
3.788 3.682 1.394
ATOMIC_POSITIONS angstrom
P 2.719 1.419 2.588
Re 3.162 3.756 2.520
Ni 2.021 0.059 0.975



# 9
! Lu2ZnPb, relaxed, DFT PBE; values from VASP
! DFT formation energy	-29	kJ/mol of atoms
! symmetry	P4/mmm
&SYSTEM
  ibrav = 0, nat = 4, ntyp = 3
/
ATOMIC_SPECIES
Lu 174.97 Lu.upf
Pb 207.20 Pb.upf
Zn 65.41 Zn.upf
CELL_PARAMETERS angstrom
-3.621 -1.605 -1.433
0.518 -3.774 2.919
-2.396 2.333 3.442
ATOMIC_POSITIONS angstrom
Lu -1.198 1.167 1.721
Pb -2.750 -1.523 2.464
Zn -1.811 -0.802 -0.716
Lu 0.259 -1.887 1.459



# 10
! PuClO, relaxed, DFT PBE; values from VASP
! formation energy (no corrections)	-2531	meV per atom
! symmetry	P2_1/c
&SYSTEM
  ibrav = 0, nat = 12, ntyp = 3
/
ATOMIC_SPECIES
Pu 244.00 Pu.upf
Cl 35.45 Cl.upf
O 16.00 O.upf
CELL_PARAMETERS angstrom
-2.246 -0.626 -5.737
-2.310 -5.995 1.559
-6.250 0.662 2.374
ATOMIC_POSITIONS angstrom
Pu -3.784 -0.621 -3.893
Cl -4.354 -4.886 -3.952
O -2.664 -2.134 -2.702
O -8.141 -3.825 0.897
Cl -6.451 -1.072 2.147
Cl -5.272 -4.621 -0.279
Pu -7.776 -3.207 -1.192
Pu -7.021 -5.338 2.088
O -7.640 -4.994 -2.514
Pu -3.029 -2.752 -0.613
O -3.165 -0.964 0.709
Cl -5.534 -1.337 -1.525



# 11
! CsNaSi2Pt, relaxed, DFT PBE; values from VASP
! formation energy (no corrections)	1125	meV per atom
! symmetry	P4/mmm
&SYSTEM
  ibrav = 0, nat = 5, ntyp = 4
/
ATOMIC_SPECIES
Na 22.99 Na.upf
Si 28.09 Si.upf
Pt 195.08 Pt.upf
Cs 132.91 Cs.upf
CELL_PARAMETERS angstrom
-1.092 3.909 -3.255
2.508 -2.531 -3.881
-4.443 -2.354 -1.336
ATOMIC_POSITIONS angstrom
Na 0.000 0.000 0.000
Si -2.222 -1.177 -0.668
Pt 1.254 -1.266 -1.941
Si -0.546 1.955 -1.628
Cs -1.514 -0.488 -4.236



| no. | density of states at the Fermi level (states/eV/cell) |
| --- | --- |
| 1 | 4.95 |
| 2 | 24.59 |
| 3 | 2.72 |
| 4 | 13.53 |
| 5 | 6.15 |
| 6 | 4.08 |
| 7 | 6.00 |
| 8 | 2.58 |
| 9 | 3.40 |
| 10 | 29.57 |
| 11 | 2.68 |